A geometry-optimized Ba2OsBr structure, computed with PBE.

```
4
Lattice="0.000 3.974 3.974 3.974 0.000 3.974 3.974 3.974 0.000" Properties=species:S:1:pos:R:3 pbc="T T T"
Os 3.974 3.974 3.974
Br 0.000 0.000 0.000
Ba 1.987 1.987 1.987
Ba 5.961 5.961 5.961
```

Summary:
Energy relative to the elements, uncorrected, eV per atom: 0.00
E, eV for the cell shown: -16.7
Spin magnetization, Bohr magnetons per cell: 1.00